! AcPmTl2 | Alexandria | PBE-GGA | relaxed; values from VASP
! M_tot = 0.0 Bohr magnetons per cell
! Space group = P4/mmm, No. 123
! ΔE to the lowest computed polymorph = 0.000 eV per atom
! Energy of formation = -35.1 kJ/mol of atoms
! Crystal system = tetragonal
&SYSTEM
  ibrav = 0, nat = 4, ntyp = 3
/
ATOMIC_SPECIES
Ac 227.00 Ac.upf
Tl 204.38 Tl.upf
Pm 145.00 Pm.upf
CELL_PARAMETERS angstrom
-0.5447 -3.3538 -2.1031
2.8362 1.1504 -2.5691
5.5594 -3.7098 4.4761
ATOMIC_POSITIONS crystal
Ac 0.5000 0.5000 0.5000
Tl 0.0000 0.0000 0.7712
Tl 0.0000 0.0000 0.2288
Pm 0.5000 0.5000 0.0000